# DyMg10Zn3

Crystalline DyMg10Zn3 at its relaxed geometry (PBE, Alexandria).

a b c (Å): 9.7213 9.7213 9.7213
angles (deg): 60.00 60.00 60.00
Fractional coordinates of all 28 atoms:
1 Dy 0.2500 0.2500 0.2500
2 Dy 0.7500 0.7500 0.7500
3 Mg 0.0000 0.0000 0.3449
4 Mg 0.0000 0.3449 0.0000
5 Mg 0.3449 0.0000 0.0000
6 Mg 0.6551 0.3449 0.0000
7 Mg 0.3853 0.3853 0.3853
8 Mg 0.1559 0.6147 0.6147
9 Mg 0.3853 0.8441 0.3853
10 Mg 0.6551 0.0000 0.3449
11 Mg 0.3853 0.3853 0.8441
12 Mg 0.8441 0.3853 0.3853
13 Mg 0.6147 0.6147 0.1559
14 Mg 0.0000 0.0000 0.6551
15 Mg 0.3449 0.6551 0.0000
16 Mg 0.0000 0.6551 0.3449
17 Mg 0.0000 0.3449 0.6551
18 Mg 0.6551 0.0000 0.0000
19 Mg 0.6147 0.6147 0.6147
20 Mg 0.0000 0.6551 0.0000
21 Mg 0.6147 0.1559 0.6147
22 Mg 0.3449 0.0000 0.6551
23 Zn 0.7314 0.7314 0.2686
24 Zn 0.7314 0.2686 0.7314
25 Zn 0.2686 0.7314 0.7314
26 Zn 0.2686 0.2686 0.7314
27 Zn 0.7314 0.2686 0.2686
28 Zn 0.2686 0.7314 0.2686

Calculated values
As for the space group: No. 225. The spin magnetization comes out at 0.00 μB/f.u. Its crystal system is cubic. The calculation puts the calculated total energy at -48.17 eV/cell. As for the theoretical density: 3.1 Mg/m³.